[1]
! SnPHO4 meta-GGA SCAN single point on PBEsol structure; values from VASP
&SYSTEM
  ibrav = 0, nat = 28, ntyp = 4
/
ATOMIC_SPECIES
Sn 118.71 Sn.upf
P 30.97 P.upf
H 1.01 H.upf
O 16.00 O.upf
CELL_PARAMETERS angstrom
-3.402 -3.125 -0.196
4.519 -3.560 -0.210
-0.022 -0.832 13.655
ATOMIC_POSITIONS crystal
Sn 0.038 0.561 0.341
Sn 0.962 0.939 0.841
Sn 0.962 0.439 0.659
Sn 0.038 0.061 0.159
P 0.548 0.040 0.349
P 0.452 0.460 0.849
P 0.452 0.960 0.651
P 0.548 0.540 0.151
H 0.406 0.694 0.009
H 0.594 0.806 0.509
H 0.594 0.306 0.991
H 0.406 0.194 0.491
O 0.288 0.926 0.284
O 0.712 0.574 0.784
O 0.712 0.074 0.716
O 0.288 0.426 0.216
O 0.450 0.236 0.415
O 0.550 0.264 0.915
O 0.550 0.764 0.585
O 0.450 0.736 0.085
O 0.650 0.847 0.411
O 0.350 0.653 0.911
O 0.350 0.153 0.589
O 0.650 0.347 0.089
O 0.792 0.174 0.284
O 0.208 0.326 0.784
O 0.208 0.826 0.716
O 0.792 0.674 0.216
! - Space-group type: No. 14
! - ρ: 3.97 g/cm³
! - Calculated volume: 360 Å³/cell
! - Total magnetization: 0.00 μB per formula unit
! - Energy: -351.82 eV per cell

***

[2]
! SnP2HO meta-GGA SCAN single point on PBEsol structure; values from VASP
&SYSTEM
  ibrav = 0, nat = 5, ntyp = 4
/
ATOMIC_SPECIES
P 30.97 P.upf
Sn 118.71 Sn.upf
O 16.00 O.upf
H 1.01 H.upf
CELL_PARAMETERS angstrom
3.871 0.000 0.000
0.000 5.131 0.000
0.000 0.000 5.131
ATOMIC_POSITIONS crystal
P 0.000 0.000 0.500
P 0.000 0.500 0.000
Sn 0.000 0.000 0.000
O 0.500 0.000 0.000
H 0.500 0.500 0.500
! - Space-group type: No. 123
! - ρ: 3.22 g/cm³
! - Calculated volume: 102 Å³/cell
! - Total magnetization: 2.81 μB per formula unit
! - Energy: -60.97 eV per cell

***

[3]
! SrP2H6O9 meta-GGA SCAN single point on PBEsol structure; values from VASP
&SYSTEM
  ibrav = 0, nat = 36, ntyp = 4
/
ATOMIC_SPECIES
H 1.01 H.upf
O 16.00 O.upf
P 30.97 P.upf
Sr 87.62 Sr.upf
CELL_PARAMETERS angstrom
6.565 0.036 0.010
-0.665 7.268 -0.006
-2.917 -2.123 7.738
ATOMIC_POSITIONS crystal
H 0.738 0.507 0.235
H 0.262 0.493 0.765
H 0.760 0.459 0.411
H 0.240 0.541 0.589
H 0.851 0.327 0.071
H 0.149 0.673 0.929
H 0.850 0.540 0.059
H 0.150 0.460 0.941
H 0.014 0.688 0.451
H 0.986 0.312 0.549
H 0.787 0.149 0.400
H 0.213 0.851 0.600
O 0.016 0.879 0.829
O 0.984 0.121 0.171
O 0.692 0.887 0.929
O 0.308 0.113 0.071
O 0.728 0.593 0.722
O 0.272 0.407 0.278
O 0.636 0.902 0.628
O 0.364 0.098 0.372
O 0.007 0.235 0.862
O 0.993 0.765 0.138
O 0.298 0.073 0.767
O 0.702 0.927 0.233
O 0.752 0.568 0.356
O 0.248 0.432 0.644
O 0.751 0.416 0.036
O 0.249 0.584 0.964
O 0.820 0.270 0.492
O 0.180 0.730 0.508
P 0.248 0.196 0.239
P 0.752 0.804 0.761
P 0.844 0.911 0.129
P 0.156 0.089 0.871
Sr 0.591 0.257 0.689
Sr 0.409 0.743 0.311
! - Space-group type: No. 2
! - ρ: 2.69 g/cm³
! - Calculated volume: 370 Å³/cell
! - Total magnetization: 0.00 μB per formula unit
! - Energy: -309.16 eV per cell

***

[4]
! SrP2H4O4 meta-GGA SCAN single point on PBEsol structure; values from VASP
&SYSTEM
  ibrav = 0, nat = 22, ntyp = 4
/
ATOMIC_SPECIES
H 1.01 H.upf
O 16.00 O.upf
P 30.97 P.upf
Sr 87.62 Sr.upf
CELL_PARAMETERS angstrom
-5.573 -1.362 -1.287
1.857 -4.614 -3.161
-0.784 -2.005 7.960
ATOMIC_POSITIONS crystal
H 0.080 0.916 0.606
H 0.420 0.310 0.394
H 0.920 0.084 0.394
H 0.580 0.690 0.606
H 0.347 0.180 0.602
H 0.153 0.578 0.398
H 0.653 0.820 0.398
H 0.847 0.422 0.602
O 0.390 0.007 0.825
O 0.110 0.182 0.175
O 0.610 0.993 0.175
O 0.890 0.818 0.825
O 0.077 0.317 0.822
O 0.423 0.495 0.178
O 0.923 0.683 0.178
O 0.577 0.505 0.822
P 0.224 0.109 0.720
P 0.276 0.389 0.280
P 0.776 0.891 0.280
P 0.724 0.611 0.720
Sr 0.250 0.749 0.000
Sr 0.750 0.251 0.000
! - Space-group type: No. 15
! - ρ: 2.71 g/cm³
! - Calculated volume: 266 Å³/cell
! - Total magnetization: 0.00 μB per formula unit
! - Energy: -200.55 eV per cell

***

[5]
! SrPH3O4 meta-GGA SCAN single point on PBEsol structure; values from VASP
&SYSTEM
  ibrav = 0, nat = 36, ntyp = 4
/
ATOMIC_SPECIES
H 1.01 H.upf
O 16.00 O.upf
P 30.97 P.upf
Sr 87.62 Sr.upf
CELL_PARAMETERS angstrom
7.075 0.000 0.000
0.000 7.498 0.023
0.000 -2.544 7.664
ATOMIC_POSITIONS crystal
H 0.048 0.800 0.231
H 0.548 0.200 0.269
H 0.952 0.200 0.769
H 0.452 0.800 0.731
H 0.114 0.995 0.208
H 0.614 0.005 0.292
H 0.886 0.005 0.792
H 0.386 0.995 0.708
H 0.243 0.105 0.508
H 0.743 0.895 0.992
H 0.757 0.895 0.492
H 0.257 0.105 0.008
O 0.306 0.429 0.543
O 0.806 0.571 0.957
O 0.694 0.571 0.457
O 0.194 0.429 0.043
O 0.125 0.855 0.154
O 0.625 0.145 0.346
O 0.875 0.145 0.846
O 0.375 0.855 0.654
O 0.998 0.323 0.633
O 0.498 0.677 0.867
O 0.002 0.677 0.367
O 0.502 0.323 0.133
O 0.086 0.223 0.307
O 0.586 0.777 0.193
O 0.914 0.777 0.693
O 0.414 0.223 0.807
P 0.157 0.270 0.495
P 0.657 0.730 0.005
P 0.843 0.730 0.505
P 0.343 0.270 0.995
Sr 0.142 0.631 0.845
Sr 0.642 0.369 0.655
Sr 0.858 0.369 0.155
Sr 0.358 0.631 0.345
! - Space-group type: No. 14
! - ρ: 3.03 g/cm³
! - Calculated volume: 407 Å³/cell
! - Total magnetization: 0.00 μB per formula unit
! - Energy: -345.36 eV per cell

***

Copy entry 4 word for word.
! SrP2H4O4 meta-GGA SCAN single point on PBEsol structure; values from VASP
&SYSTEM
  ibrav = 0, nat = 22, ntyp = 4
/
ATOMIC_SPECIES
H 1.01 H.upf
O 16.00 O.upf
P 30.97 P.upf
Sr 87.62 Sr.upf
CELL_PARAMETERS angstrom
-5.573 -1.362 -1.287
1.857 -4.614 -3.161
-0.784 -2.005 7.960
ATOMIC_POSITIONS crystal
H 0.080 0.916 0.606
H 0.420 0.310 0.394
H 0.920 0.084 0.394
H 0.580 0.690 0.606
H 0.347 0.180 0.602
H 0.153 0.578 0.398
H 0.653 0.820 0.398
H 0.847 0.422 0.602
O 0.390 0.007 0.825
O 0.110 0.182 0.175
O 0.610 0.993 0.175
O 0.890 0.818 0.825
O 0.077 0.317 0.822
O 0.423 0.495 0.178
O 0.923 0.683 0.178
O 0.577 0.505 0.822
P 0.224 0.109 0.720
P 0.276 0.389 0.280
P 0.776 0.891 0.280
P 0.724 0.611 0.720
Sr 0.250 0.749 0.000
Sr 0.750 0.251 0.000
! - Space-group type: No. 15
! - ρ: 2.71 g/cm³
! - Calculated volume: 266 Å³/cell
! - Total magnetization: 0.00 μB per formula unit
! - Energy: -200.55 eV per cell

***

Question: energy of number 3 (SrP2H6O9)?
Answer: -309.16 eV per cell

***

Copy entry 4 word for word.
! SrP2H4O4 meta-GGA SCAN single point on PBEsol structure; values from VASP
&SYSTEM
  ibrav = 0, nat = 22, ntyp = 4
/
ATOMIC_SPECIES
H 1.01 H.upf
O 16.00 O.upf
P 30.97 P.upf
Sr 87.62 Sr.upf
CELL_PARAMETERS angstrom
-5.573 -1.362 -1.287
1.857 -4.614 -3.161
-0.784 -2.005 7.960
ATOMIC_POSITIONS crystal
H 0.080 0.916 0.606
H 0.420 0.310 0.394
H 0.920 0.084 0.394
H 0.580 0.690 0.606
H 0.347 0.180 0.602
H 0.153 0.578 0.398
H 0.653 0.820 0.398
H 0.847 0.422 0.602
O 0.390 0.007 0.825
O 0.110 0.182 0.175
O 0.610 0.993 0.175
O 0.890 0.818 0.825
O 0.077 0.317 0.822
O 0.423 0.495 0.178
O 0.923 0.683 0.178
O 0.577 0.505 0.822
P 0.224 0.109 0.720
P 0.276 0.389 0.280
P 0.776 0.891 0.280
P 0.724 0.611 0.720
Sr 0.250 0.749 0.000
Sr 0.750 0.251 0.000
! - Space-group type: No. 15
! - ρ: 2.71 g/cm³
! - Calculated volume: 266 Å³/cell
! - Total magnetization: 0.00 μB per formula unit
! - Energy: -200.55 eV per cell